1.
# KCuPdSe2 | the Alexandria database | PBE | relaxed
# M_tot	0.00	Bohr magnetons per cell
# total DFT energy (no corrections)	-4.018	eV/atom
# uncorrected formation energy	-0.55	eV per atom
data_KCuPdSe2
_chemical_formula_sum 'K1 Cu1 Pd1 Se2'
_cell_length_a 3.973
_cell_length_b 3.979
_cell_length_c 7.152
_cell_angle_alpha 90.00
_cell_angle_beta 90.09
_cell_angle_gamma 90.00
_space_group_name_H-M_alt 'P 1 2/m 1'
_space_group_IT_number 10
loop_
_space_group_symop_operation_xyz
'x,y,z'
'-x,-y,-z'
'-x,y,-z'
'x,-y,z'
loop_
_atom_site_label
_atom_site_type_symbol
_atom_site_fract_x
_atom_site_fract_y
_atom_site_fract_z
K1 K 0.000 0.000 0.000
Cu1 Cu 0.500 0.000 0.500
Pd1 Pd 0.000 0.500 0.500
Se1 Se 0.499 0.500 0.275

2.
# KCuPdSe5 | the Alexandria database | PBE | relaxed
# M_tot	0.00	Bohr magnetons per cell
# total DFT energy (no corrections)	-3.904	eV/atom
# uncorrected formation energy	-0.43	eV per atom
data_KCuPdSe5
_chemical_formula_sum 'K2 Cu2 Pd2 Se10'
_cell_length_a 6.291
_cell_length_b 7.400
_cell_length_c 9.115
_cell_angle_alpha 90.00
_cell_angle_beta 103.33
_cell_angle_gamma 90.00
_space_group_name_H-M_alt 'P 1 21/m 1'
_space_group_IT_number 11
loop_
_space_group_symop_operation_xyz
'x,y,z'
'-x,-y,-z'
'-x,y+1/2,-z'
'x,-y+1/2,z'
loop_
_atom_site_label
_atom_site_type_symbol
_atom_site_fract_x
_atom_site_fract_y
_atom_site_fract_z
K1 K 0.243 0.250 0.454
Cu1 Cu 0.382 0.250 0.892
Pd1 Pd 0.000 0.000 0.000
Se1 Se 0.181 0.510 0.784
Se2 Se 0.212 0.750 0.394
Se3 Se 0.232 0.750 0.135
Se4 Se 0.458 0.750 0.842

3.
# K2CuPdSe4 | the Alexandria database | PBE | relaxed
# M_tot	0.00	Bohr magnetons per cell
# total DFT energy (no corrections)	-3.710	eV/atom
# uncorrected formation energy	-0.53	eV per atom
data_K2CuPdSe4
_chemical_formula_sum 'K16 Cu8 Pd8 Se32'
_cell_length_a 5.886
_cell_length_b 13.599
_cell_length_c 20.983
_cell_angle_alpha 90.00
_cell_angle_beta 90.00
_cell_angle_gamma 90.00
_space_group_name_H-M_alt 'F d d d'
_space_group_IT_number 70
loop_
_space_group_symop_operation_xyz
'x,y,z'
'-x,-y,-z'
'-x+1/4,-y+1/4,z'
'x+1/4,y+1/4,-z'
'x,-y+1/4,-z+1/4'
'-x,y+1/4,z+1/4'
'-x+1/4,y,-z+1/4'
'x+1/4,-y,z+1/4'
'x,y+1/2,z+1/2'
'-x,-y+1/2,-z+1/2'
'-x+1/4,-y+3/4,z+1/2'
'x+1/4,y+3/4,-z+1/2'
'x,-y+3/4,-z+3/4'
'-x,y+3/4,z+3/4'
'-x+1/4,y+1/2,-z+3/4'
'x+1/4,-y+1/2,z+3/4'
'x+1/2,y,z+1/2'
'-x+1/2,-y,-z+1/2'
'-x+3/4,-y+1/4,z+1/2'
'x+3/4,y+1/4,-z+1/2'
'x+1/2,-y+1/4,-z+3/4'
'-x+1/2,y+1/4,z+3/4'
'-x+3/4,y,-z+3/4'
'x+3/4,-y,z+3/4'
'x+1/2,y+1/2,z'
'-x+1/2,-y+1/2,-z'
'-x+3/4,-y+3/4,z'
'x+3/4,y+3/4,-z'
'x+1/2,-y+3/4,-z+1/4'
'-x+1/2,y+3/4,z+1/4'
'-x+3/4,y+1/2,-z+1/4'
'x+3/4,-y+1/2,z+1/4'
loop_
_atom_site_label
_atom_site_type_symbol
_atom_site_fract_x
_atom_site_fract_y
_atom_site_fract_z
K1 K 0.125 0.125 0.314
Cu1 Cu 0.125 0.125 0.625
Pd1 Pd 0.125 0.125 0.125
Se1 Se 0.113 0.275 0.807

4.
# KCuSi2Pd | the Alexandria database | PBE | relaxed
# M_tot	0.00	Bohr magnetons per cell
# total DFT energy (no corrections)	-2.179	eV/atom
# uncorrected formation energy	2.07	eV per atom
data_KCuSi2Pd
_chemical_formula_sum 'K1 Cu1 Si2 Pd1'
_cell_length_a 5.388
_cell_length_b 5.388
_cell_length_c 4.890
_cell_angle_alpha 90.00
_cell_angle_beta 90.00
_cell_angle_gamma 90.00
_space_group_name_H-M_alt 'P 4/m m m'
_space_group_IT_number 123
_space_group_name_Hall '-P 4 2'
loop_
_atom_site_label
_atom_site_type_symbol
_atom_site_fract_x
_atom_site_fract_y
_atom_site_fract_z
K1 K 0.000 0.000 0.000
Cu1 Cu 0.500 0.500 0.500
Si1 Si 0.000 0.500 0.000
Pd1 Pd 0.000 0.000 0.500

5.
# KCuTe2Pd | the Alexandria database | PBE | relaxed
# M_tot	0.00	Bohr magnetons per cell
# total DFT energy (no corrections)	-3.681	eV/atom
# uncorrected formation energy	-0.35	eV per atom
data_KCuTe2Pd
_chemical_formula_sum 'K2 Cu2 Te4 Pd2'
_cell_length_a 7.524
_cell_length_b 6.081
_cell_length_c 6.624
_cell_angle_alpha 90.00
_cell_angle_beta 110.64
_cell_angle_gamma 90.00
_space_group_name_H-M_alt 'P 1 2/c 1'
_space_group_IT_number 13
loop_
_space_group_symop_operation_xyz
'x,y,z'
'-x,-y,-z'
'-x,y,-z+1/2'
'x,-y,z+1/2'
loop_
_atom_site_label
_atom_site_type_symbol
_atom_site_fract_x
_atom_site_fract_y
_atom_site_fract_z
K1 K 0.000 0.216 0.250
Cu1 Cu 0.500 0.000 0.000
Te1 Te 0.278 0.306 0.843
Pd1 Pd 0.500 0.375 0.250

6.
# KCu2Te8Pd | the Alexandria database | PBE | relaxed
# M_tot	0.00	Bohr magnetons per cell
# total DFT energy (no corrections)	-3.350	eV/atom
# uncorrected formation energy	-0.05	eV per atom
data_KCu2Te8Pd
_chemical_formula_sum 'K3 Cu6 Te24 Pd3'
_cell_length_a 6.1032
_cell_length_b 6.1032
_cell_length_c 33.7138
_cell_angle_alpha 90.00
_cell_angle_beta 90.00
_cell_angle_gamma 120.00
_space_group_name_H-M_alt 'R -3'
_space_group_IT_number 148
_space_group_name_Hall '-R 3'
loop_
_atom_site_label
_atom_site_type_symbol
_atom_site_fract_x
_atom_site_fract_y
_atom_site_fract_z
K1 K 0.0000 0.0000 0.0000
Cu1 Cu 0.0000 0.0000 0.2545
Te1 Te 0.0000 0.0000 0.3287
Te2 Te 0.0086 0.4014 0.7760
Pd1 Pd 0.0000 0.0000 0.5000

7.
# KPm2Cu2S4 | the Alexandria database | PBE | relaxed
# M_tot	0.00	Bohr magnetons per cell
# total DFT energy (no corrections)	-5.089	eV/atom
# uncorrected formation energy	-1.17	eV per atom
data_KPm2Cu2S4
_chemical_formula_sum 'K2 Pm4 Cu4 S8'
_cell_length_a 15.033
_cell_length_b 3.725
_cell_length_c 7.354
_cell_angle_alpha 90.00
_cell_angle_beta 114.85
_cell_angle_gamma 90.00
_space_group_name_H-M_alt 'C 1 2/m 1'
_space_group_IT_number 12
loop_
_space_group_symop_operation_xyz
'x,y,z'
'-x,-y,-z'
'-x,y,-z'
'x,-y,z'
'x+1/2,y+1/2,z'
'-x+1/2,-y+1/2,-z'
'-x+1/2,y+1/2,-z'
'x+1/2,-y+1/2,z'
loop_
_atom_site_label
_atom_site_type_symbol
_atom_site_fract_x
_atom_site_fract_y
_atom_site_fract_z
K1 K 0.000 0.000 0.000
Pm1 Pm 0.126 0.000 0.556
Cu1 Cu 0.190 0.500 0.017
S1 S 0.040 0.500 0.727
S2 S 0.217 0.000 0.243

8.
# KPmCu2Sb2 | the Alexandria database | PBE | relaxed
# M_tot	0.00	Bohr magnetons per cell
# total DFT energy (no corrections)	-4.287	eV/atom
# uncorrected formation energy	-0.57	eV per atom
data_KPmCu2Sb2
_chemical_formula_sum 'K1 Pm1 Cu2 Sb2'
_cell_length_a 4.4839
_cell_length_b 4.4839
_cell_length_c 9.2486
_cell_angle_alpha 90.00
_cell_angle_beta 90.00
_cell_angle_gamma 120.00
_space_group_name_H-M_alt 'P -3 m 1'
_space_group_IT_number 164
_space_group_name_Hall '-P 3 2"'
loop_
_atom_site_label
_atom_site_type_symbol
_atom_site_fract_x
_atom_site_fract_y
_atom_site_fract_z
K1 K 0.0000 0.0000 0.0000
Pm1 Pm 0.0000 0.0000 0.5000
Cu1 Cu 0.3333 0.6667 0.6969
Sb1 Sb 0.3333 0.6667 0.2821

9.
# KPm2Cu2Se4 | the Alexandria database | PBE | relaxed
# M_tot	0.00	Bohr magnetons per cell
# total DFT energy (no corrections)	-4.751	eV/atom
# uncorrected formation energy	-1.11	eV per atom
data_KPm2Cu2Se4
_chemical_formula_sum 'K2 Pm4 Cu4 Se8'
_cell_length_a 15.722
_cell_length_b 3.890
_cell_length_c 8.892
_cell_angle_alpha 90.00
_cell_angle_beta 116.45
_cell_angle_gamma 90.00
_space_group_name_H-M_alt 'C 1 2/m 1'
_space_group_IT_number 12
loop_
_space_group_symop_operation_xyz
'x,y,z'
'-x,-y,-z'
'-x,y,-z'
'x,-y,z'
'x+1/2,y+1/2,z'
'-x+1/2,-y+1/2,-z'
'-x+1/2,y+1/2,-z'
'x+1/2,-y+1/2,z'
loop_
_atom_site_label
_atom_site_type_symbol
_atom_site_fract_x
_atom_site_fract_y
_atom_site_fract_z
K1 K 0.000 0.000 0.000
Pm1 Pm 0.116 0.000 0.608
Cu1 Cu 0.188 0.500 0.406
Se1 Se 0.009 0.500 0.312
Se2 Se 0.226 0.000 0.268

10.
# KPmCuSe2 | the Alexandria database | PBE | relaxed
# M_tot	0.00	Bohr magnetons per cell
# total DFT energy (no corrections)	-4.403	eV/atom
# uncorrected formation energy	-1.02	eV per atom
data_KPmCuSe2
_chemical_formula_sum 'K2 Pm2 Cu2 Se4'
_cell_length_a 7.848
_cell_length_b 4.668
_cell_length_c 8.317
_cell_angle_alpha 90.00
_cell_angle_beta 99.50
_cell_angle_gamma 90.00
_space_group_name_H-M_alt 'P 1 2/c 1'
_space_group_IT_number 13
loop_
_space_group_symop_operation_xyz
'x,y,z'
'-x,-y,-z'
'-x,y,-z+1/2'
'x,-y,z+1/2'
loop_
_atom_site_label
_atom_site_type_symbol
_atom_site_fract_x
_atom_site_fract_y
_atom_site_fract_z
K1 K 0.000 0.173 0.250
Pm1 Pm 0.500 0.491 0.750
Cu1 Cu 0.500 0.000 0.000
Se1 Se 0.260 0.310 0.966

11.
# KPmCuTe3 | the Alexandria database | PBE | relaxed
# M_tot	0.00	Bohr magnetons per cell
# total DFT energy (no corrections)	-4.063	eV/atom
# uncorrected formation energy	-0.84	eV per atom
data_KPmCuTe3
_chemical_formula_sum 'K4 Pm4 Cu4 Te12'
_cell_length_a 16.893
_cell_length_b 5.279
_cell_length_c 9.258
_cell_angle_alpha 90.00
_cell_angle_beta 101.06
_cell_angle_gamma 90.00
_space_group_name_H-M_alt 'C 1 2/m 1'
_space_group_IT_number 12
loop_
_space_group_symop_operation_xyz
'x,y,z'
'-x,-y,-z'
'-x,y,-z'
'x,-y,z'
'x+1/2,y+1/2,z'
'-x+1/2,-y+1/2,-z'
'-x+1/2,y+1/2,-z'
'x+1/2,-y+1/2,z'
loop_
_atom_site_label
_atom_site_type_symbol
_atom_site_fract_x
_atom_site_fract_y
_atom_site_fract_z
K1 K 0.149 0.000 0.047
Pm1 Pm 0.144 0.000 0.545
Cu1 Cu 0.013 0.500 0.302
Te1 Te 0.001 0.000 0.724
Te2 Te 0.144 0.500 0.752
Te3 Te 0.169 0.500 0.326

12.
# KPm2CuTe4 | the Alexandria database | PBE | relaxed
# M_tot	0.00	Bohr magnetons per cell
# total DFT energy (no corrections)	-4.578	eV/atom
# uncorrected formation energy	-1.17	eV per atom
data_KPm2CuTe4
_chemical_formula_sum 'K4 Pm8 Cu4 Te16'
_cell_length_a 4.453
_cell_length_b 15.318
_cell_length_c 15.619
_cell_angle_alpha 90.00
_cell_angle_beta 90.00
_cell_angle_gamma 90.00
_space_group_name_H-M_alt 'C m c m'
_space_group_IT_number 63
_space_group_name_Hall '-C 2c 2'
loop_
_atom_site_label
_atom_site_type_symbol
_atom_site_fract_x
_atom_site_fract_y
_atom_site_fract_z
K1 K 0.000 0.112 0.250
Pm1 Pm 0.000 0.364 0.065
Cu1 Cu 0.000 0.158 0.750
Te1 Te 0.000 0.000 0.000
Te2 Te 0.000 0.268 0.617
Te3 Te 0.000 0.438 0.250